Density functional theory data (GGA-PBE) for BaHoPdO4 after structural relaxation.

Space group ... Imma, No. 74
Formation energy (no corrections) ... -2.027 eV/atom

Cell: 7.017 7.017 7.017 Å, 123.04 120.34 87.12°
Sites, in units of the cell vectors:
Ba (0.391, 0.141, 0.250)
Ba (0.609, 0.859, 0.750)
Ho (0.000, 0.500, 0.500)
Ho (0.500, 0.500, 0.000)
Pd (0.000, 0.000, 0.500)
Pd (0.000, 0.500, 0.000)
O (0.162, 0.727, 0.435)
O (0.208, 0.273, 0.935)
O (0.248, 0.287, 0.539)
O (0.248, 0.709, 0.961)
O (0.752, 0.291, 0.039)
O (0.752, 0.713, 0.461)
O (0.792, 0.727, 0.065)
O (0.838, 0.273, 0.565)

Density functional theory data (GGA-PBE) for AgBPt3 after structural relaxation.

Space group ... I-4m2, No. 119
ΔE_f ... 1.30 eV per formula unit

Cell: 7.524 7.524 7.524 Å, 140.07 140.07 57.75°
Sites, in units of the cell vectors:
Ag (0.179, 0.179, 0.000)
Ag (0.821, 0.821, 0.000)
B (0.500, 0.500, 0.000)
B (0.750, 0.250, 0.500)
Pt (0.064, 0.564, 0.500)
Pt (0.124, 0.376, 0.748)
Pt (0.436, 0.936, 0.500)
Pt (0.624, 0.372, 0.748)
Pt (0.624, 0.876, 0.252)
Pt (0.628, 0.376, 0.252)

Density functional theory data (GGA-PBE) for BeFeOs after structural relaxation.

Space group ... P-6m2, No. 187
ΔE_f ... 0.00 eV per formula unit

Cell: 3.835 3.835 2.589 Å, 90.00 90.00 120.00°
Sites, in units of the cell vectors:
Be (0.000, 0.000, 0.000)
Fe (0.333, 0.667, 0.000)
Os (0.667, 0.333, 0.500)

Density functional theory data (GGA-PBE) for TmThZnPb after structural relaxation.

Space group ... F-43m, No. 216
ΔE_f ... -0.83 eV per formula unit

Cell: 5.316 5.316 5.316 Å, 60.00 60.00 60.00°
Sites, in units of the cell vectors:
Tm (0.000, 0.000, 0.000)
Th (0.500, 0.500, 0.500)
Zn (0.750, 0.750, 0.750)
Pb (0.250, 0.250, 0.250)

Number 1: spin magnetization 0.997 μB/f.u.. Number 2: spin magnetization 0.000 μB/f.u.. Number 3: spin magnetization 0.000 μB/f.u.. Number 4: spin magnetization 0.000 μB/f.u..